1.
FeB3Cl: relaxed, PBE.

Results
- Symmetry: Pm-3m (221)
- Relative energy among the computed polymorphs: 547.6 kJ/mol of formula units
- V: 11.0 A^3/atom
- Magnetization: 2.60 μB/f.u.
- ΔE_f (raw): 2367 meV/atom

Lattice parameters (Å, degrees): 3.7990 3.7990 3.7990 90.00 90.00 90.00
Sites, in units of the cell vectors:
B 0.0000 0.5000 0.0000
B 0.5000 0.0000 0.0000
Cl 0.0000 0.0000 0.0000
Fe 0.5000 0.5000 0.5000
B 0.0000 0.0000 0.5000

=====

2.
Sr2CaCu: relaxed, PBE.

Results
- Symmetry: F-43m (216)
- Relative energy among the computed polymorphs: 123.3 kJ/mol of formula units
- V: 35.9 A^3/atom
- Magnetization: 0.00 μB/f.u.

Lattice parameters (Å, degrees): 5.8760 5.8760 5.8760 60.00 60.00 60.00
Sites, in units of the cell vectors:
Ca 0.5000 0.5000 0.5000
Sr 0.0000 0.0000 0.0000
Cu 0.7500 0.7500 0.7500
Sr 0.2500 0.2500 0.2500

=====

Question: What is the formula in the second record?
Answer: Sr2CaCu